1.
ReO3F | SCAN | PBEsol geometry

Magnetic moment, μB/cell: 0.4
Symmetry: P2/c, No. 13

a = 6.244 Å, b = 6.821 Å, c = 10.747 Å
α = 90.41°, β = 90.00°, γ = 90.00°
Atoms (fractional coordinates):
O  0.241  0.517  0.016
O  0.510  0.190  0.901
Re  0.040  0.000  0.750
O  0.208  0.855  0.833
O  0.958  0.832  0.616
O  0.208  0.145  0.666
Re  0.719  0.335  0.858
F  0.767  0.166  0.690
O  0.241  0.483  0.484
O  0.792  0.855  0.334
O  0.561  0.500  0.750
O  0.510  0.810  0.599
F  0.767  0.834  0.810
O  0.042  0.168  0.384
O  0.439  0.500  0.250
O  0.792  0.145  0.167
Re  0.281  0.335  0.358
O  0.759  0.483  0.984
F  0.233  0.834  0.310
Re  0.960  0.000  0.250
O  0.490  0.810  0.099
F  0.945  0.500  0.750
Re  0.719  0.665  0.642
O  0.759  0.517  0.516
F  0.233  0.166  0.190
O  0.042  0.832  0.116
O  0.958  0.168  0.884
F  0.055  0.500  0.250
O  0.490  0.190  0.401
Re  0.281  0.665  0.142

2.
ReO2F3 | SCAN | PBEsol geometry

Magnetic moment, μB/cell: 0.0
Symmetry: P2_1/c, No. 14

a = 4.964 Å, b = 5.610 Å, c = 12.897 Å
α = 99.96°, β = 90.00°, γ = 90.00°
Atoms (fractional coordinates):
F  0.013  0.456  0.780
O  0.433  0.841  0.906
Re  0.212  0.322  0.636
Re  0.788  0.678  0.364
O  0.420  0.258  0.530
F  0.402  0.622  0.111
Re  0.288  0.322  0.136
F  0.987  0.544  0.220
O  0.080  0.258  0.030
O  0.580  0.742  0.470
F  0.647  0.888  0.283
O  0.067  0.841  0.406
F  0.147  0.112  0.217
Re  0.712  0.678  0.864
O  0.933  0.159  0.594
F  0.513  0.544  0.720
F  0.853  0.888  0.783
F  0.902  0.378  0.389
O  0.567  0.159  0.094
F  0.098  0.622  0.611
F  0.353  0.112  0.717
O  0.920  0.742  0.970
F  0.487  0.456  0.280
F  0.598  0.378  0.889

3.
ReRuO2F | SCAN | PBEsol geometry

Magnetic moment, μB/cell: 2.9
Symmetry: P4/mmm, No. 123

a = 3.796 Å, b = 3.796 Å, c = 4.343 Å
α = 90.00°, β = 90.00°, γ = 90.00°
Atoms (fractional coordinates):
O  0.500  0.000  0.000
Ru  0.500  0.500  0.500
F  0.000  0.000  0.500
Re  0.000  0.000  0.000
O  0.000  0.500  0.000

4.
ReSO2F | SCAN | PBEsol geometry

Magnetic moment, μB/cell: 2.2
Symmetry: P4/mmm, No. 123

a = 3.802 Å, b = 3.802 Å, c = 4.253 Å
α = 90.00°, β = 90.00°, γ = 90.00°
Atoms (fractional coordinates):
Re  0.000  0.000  0.000
F  0.000  0.000  0.500
O  0.000  0.500  0.000
O  0.500  0.000  0.000
S  0.500  0.500  0.500

5.
ReSbOF9 | SCAN | PBEsol geometry

Magnetic moment, μB/cell: 4.0
Symmetry: P2_1/c, No. 14

a = 5.640 Å, b = 10.125 Å, c = 12.649 Å
α = 90.00°, β = 99.45°, γ = 90.00°
Atoms (fractional coordinates):
Re  0.325  0.519  0.707
F  0.089  0.146  0.126
F  0.089  0.354  0.626
F  0.911  0.646  0.374
F  0.206  0.397  0.053
Re  0.325  0.981  0.207
F  0.797  0.093  0.941
F  0.022  0.942  0.240
Sb  0.988  0.745  0.004
Sb  0.012  0.255  0.996
F  0.978  0.442  0.260
F  0.742  0.311  0.053
F  0.104  0.674  0.140
F  0.462  0.918  0.858
F  0.206  0.103  0.553
F  0.259  0.163  0.945
F  0.538  0.418  0.642
F  0.203  0.593  0.559
Sb  0.012  0.245  0.496
F  0.623  0.907  0.677
F  0.377  0.093  0.323
F  0.896  0.326  0.860
F  0.978  0.058  0.760
F  0.623  0.593  0.177
F  0.258  0.811  0.447
F  0.022  0.558  0.740
F  0.258  0.689  0.947
O  0.493  0.850  0.251
F  0.741  0.663  0.555
F  0.741  0.837  0.055
F  0.742  0.189  0.553
F  0.794  0.603  0.947
Re  0.675  0.019  0.793
O  0.507  0.150  0.749
F  0.104  0.826  0.640
Sb  0.988  0.755  0.504
F  0.259  0.337  0.445
F  0.896  0.174  0.360
O  0.507  0.350  0.249
F  0.794  0.897  0.447
F  0.538  0.082  0.142
O  0.493  0.650  0.751
F  0.797  0.407  0.441
Re  0.675  0.481  0.293
F  0.377  0.407  0.823
F  0.911  0.854  0.874
F  0.462  0.582  0.358
F  0.203  0.907  0.059

6.
ReTcO2F | SCAN | PBEsol geometry

Magnetic moment, μB/cell: 5.0
Symmetry: P4/mmm, No. 123

a = 3.814 Å, b = 3.814 Å, c = 4.317 Å
α = 90.00°, β = 90.00°, γ = 90.00°
Atoms (fractional coordinates):
O  0.500  0.000  0.000
O  0.000  0.500  0.000
Re  0.500  0.500  0.500
F  0.000  0.000  0.500
Tc  0.000  0.000  0.000

7.
RhO2F2 | SCAN | PBEsol geometry

Magnetic moment, μB/cell: 0.4
Symmetry: P4/mmm, No. 123

a = 3.680 Å, b = 3.680 Å, c = 3.945 Å
α = 90.00°, β = 90.00°, γ = 90.00°
Atoms (fractional coordinates):
F  0.000  0.000  0.500
O  0.000  0.500  0.000
O  0.500  0.000  0.000
F  0.500  0.500  0.500
Rh  0.000  0.000  0.000

8.
RuRhOF2 | SCAN | PBEsol geometry

Magnetic moment, μB/cell: 1.3
Symmetry: P4/mmm, No. 123

a = 3.661 Å, b = 4.172 Å, c = 4.172 Å
α = 90.00°, β = 90.00°, γ = 90.00°
Atoms (fractional coordinates):
Rh  0.500  0.500  0.500
Ru  0.000  0.000  0.000
F  0.000  0.000  0.500
O  0.500  0.000  0.000
F  0.000  0.500  0.000

ΔE_f (raw) / eV/atom: -1.718 -1.986 -0.359 -0.582 -2.213 0.052 -0.455 -0.492
Energy / eV per atom: -20.38 -17.68 -24.74 -19.93 -14.42 -24.38 -11.12 -16.87